First-principles (PBEsol) data for a relaxed RbSeO2 crystal, as listed in the Alexandria database.

Structure (CIF):
```
data_RbSeO2
_chemical_formula_sum 'Rb3 Se3 O6'
_cell_length_a 3.4603
_cell_length_b 3.4603
_cell_length_c 20.8345
_cell_angle_alpha 90.00
_cell_angle_beta 90.00
_cell_angle_gamma 120.00
_symmetry_space_group_name_H-M 'R -3 m'
_symmetry_Int_Tables_number 166
_symmetry_space_group_name_Hall '-R 3 2"'
loop_
_atom_site_label
_atom_site_type_symbol
_atom_site_fract_x
_atom_site_fract_y
_atom_site_fract_z
Rb1 Rb 0.0000 0.0000 0.0000
Se1 Se 0.0000 0.0000 0.5000
O1 O 0.0000 0.0000 0.1226
```

## Properties
Total magnetic moment: 0.00 μB/atom
Crystal system: trigonal
Raw formation energy: -357.8 meV/atom